Compound: Li2AlMoO4
Source: Alexandria
Functional: PBE+U
Structure: optimized geometry

* total energy: -6.463 eV per atom
* SG: P2/m

a b c (Å): 2.885 5.382 5.291
angles (deg): 111.56 90.00 90.00
Each line ends with the local moment (μB).
Fractional positions:
Li  0.500  0.000  0.500  0.00
Li  0.000  0.500  0.500  0.00
Al  0.000  0.000  0.000  0.01
Mo  0.500  0.500  0.000  2.17
O  0.500  0.229  0.217  0.02
O  0.500  0.771  0.783  0.02
O  0.000  0.210  0.771  0.03
O  0.000  0.790  0.229  0.03